(1)
Below is a relaxed structure of CuAg2Sb, with properties calculated at the PBE-GGA level.

```
CuAg2Sb
1.0
4.7322 0.0000 0.0000
2.3661 4.0982 0.0000
2.3661 1.3661 3.8638
Cu Ag Sb
1 2 1
direct
0.5000 0.5000 0.5000
0.2500 0.2500 0.2500
0.0000 0.0000 0.0000
0.7500 0.7500 0.7500
```

(2)
Below is a relaxed structure of CuAgSb2, with properties calculated at the PBE-GGA level.

```
CuAgSb2
1.0
4.0092 0.0000 0.0000
0.0000 3.9744 0.0190
0.0000 2.0470 5.3336
Sb Ag Cu
2 1 1
direct
0.0000 0.9967 0.9034
0.5000 0.2622 0.3181
0.0000 0.6924 0.4614
0.5000 0.5487 0.8171
```

(3)
Below is a relaxed structure of CuAg2Sb, with properties calculated at the PBE-GGA level.

```
CuAg2Sb
1.0
3.1195 0.0000 0.0000
1.5598 2.7016 0.0000
1.5598 0.9005 9.1455
Cu Ag Sb
1 2 1
direct
0.5000 0.5000 0.5001
0.2404 0.2404 0.2787
0.0929 0.0929 0.7212
0.6667 0.6667 0.0000
```

| no. | distance to the lowest polymorph of the same formula (eV per formula unit) |
| --- | --- |
| 1 | 0.29 |
| 2 | 0.06 |
| 3 | 0.45 |